A relaxed Yb3GdSb3 crystal, computed with GGA-PBE.

Computed properties:
Its formation energy (no corrections) is -1.09 eV/atom. The calculation puts the total energy at -5.520 eV per atom. The total magnetization is 1.094 μB per atom. The value obtained for the density of states at the Fermi level is 186.68 states/eV per cell. As for the space group: P2_13, No. 198.

a b c (Å): 9.3593 9.3593 9.3593
angles (deg): 90.00 90.00 90.00
With the nearest neighbours (Å) after each atom.
Element x y z (fractional)
Yb 0.0730 0.0730 0.0730  6 Sb 3.14-3.37
Yb 0.0753 0.9247 0.4247  6 Sb 3.15-3.35
Yb 0.1792 0.3208 0.6792  6 Sb 3.14-3.34
Yb 0.3208 0.6792 0.1792  6 Sb 3.14-3.34
Yb 0.4247 0.0753 0.9247  6 Sb 3.15-3.35
Yb 0.4270 0.9270 0.5730  6 Sb 3.14-3.37
Yb 0.5730 0.4270 0.9270  6 Sb 3.14-3.37
Yb 0.5753 0.5753 0.5753  6 Sb 3.15-3.35
Yb 0.6792 0.1792 0.3208  6 Sb 3.14-3.34
Yb 0.8208 0.8208 0.8208  6 Sb 3.14-3.34
Yb 0.9247 0.4247 0.0753  6 Sb 3.15-3.35
Yb 0.9270 0.5730 0.4270  6 Sb 3.14-3.37
Gd 0.1780 0.6780 0.8220  6 Sb 3.12-3.34
Gd 0.3220 0.3220 0.3220  6 Sb 3.12-3.34
Gd 0.6780 0.8220 0.1780  6 Sb 3.12-3.34
Gd 0.8220 0.1780 0.6780  6 Sb 3.12-3.34
Sb 0.0017 0.2497 0.3780  2 Gd 3.12-3.34, 6 Yb 3.14-3.37
Sb 0.1220 0.9983 0.7497  2 Gd 3.12-3.34, 6 Yb 3.14-3.37
Sb 0.2497 0.3780 0.0017  2 Gd 3.12-3.34, 6 Yb 3.14-3.37
Sb 0.2503 0.6220 0.5017  2 Gd 3.12-3.34, 6 Yb 3.14-3.37
Sb 0.3780 0.0017 0.2497  2 Gd 3.12-3.34, 6 Yb 3.14-3.37
Sb 0.4983 0.7503 0.8780  2 Gd 3.12-3.34, 6 Yb 3.14-3.37
Sb 0.5017 0.2503 0.6220  2 Gd 3.12-3.34, 6 Yb 3.14-3.37
Sb 0.6220 0.5017 0.2503  2 Gd 3.12-3.34, 6 Yb 3.14-3.37
Sb 0.7497 0.1220 0.9983  2 Gd 3.12-3.34, 6 Yb 3.14-3.37
Sb 0.7503 0.8780 0.4983  2 Gd 3.12-3.34, 6 Yb 3.14-3.37
Sb 0.8780 0.4983 0.7503  2 Gd 3.12-3.34, 6 Yb 3.14-3.37
Sb 0.9983 0.7497 0.1220  2 Gd 3.12-3.34, 6 Yb 3.14-3.37

***

A relaxed Gd2ZnSb crystal, computed with GGA-PBE.

Computed properties:
Its formation energy (no corrections) is -0.58 eV/atom. The calculation puts the total energy at -8.970 eV per atom. The total magnetization is 3.703 μB per atom. The value obtained for the density of states at the Fermi level is 4.55 states/eV per cell. The offset from the most stable computed form comes out at 8.05 kJ/mol of atoms. As for the space group: Fm-3m, No. 225.

a b c (Å): 5.2601 5.2601 5.2601
angles (deg): 60.00 60.00 60.00
With the nearest neighbours (Å) after each atom.
Element x y z (fractional)
Gd 0.2500 0.2500 0.2500  4 Sb 3.22, 4 Zn 3.22
Gd 0.7500 0.7500 0.7500  4 Sb 3.22, 4 Zn 3.22
Zn 0.0000 0.0000 0.0000  8 Gd 3.22
Sb 0.5000 0.5000 0.5000  8 Gd 3.22

***

A relaxed Gd2ZnSb crystal, computed with GGA-PBE.

Computed properties:
Its formation energy (no corrections) is -0.66 eV/atom. The calculation puts the total energy at -9.053 eV per atom. The total magnetization is 3.748 μB per atom. The value obtained for the density of states at the Fermi level is 1.34 states/eV per cell. The offset from the most stable computed form comes out at 0.00 kJ/mol of atoms. As for the space group: P4/mmm, No. 123.

a b c (Å): 3.9031 3.9031 6.6876
angles (deg): 90.00 90.00 90.00
With the nearest neighbours (Å) after each atom.
Element x y z (fractional)
Gd 0.0000 0.0000 0.2487  4 Zn 3.22, 4 Sb 3.23, 2 Gd 3.33-3.36
Gd 0.0000 0.0000 0.7513  4 Zn 3.22, 4 Sb 3.23, 2 Gd 3.33-3.36
Zn 0.5000 0.5000 0.0000  8 Gd 3.22, 2 Sb 3.34
Sb 0.5000 0.5000 0.5000  8 Gd 3.23, 2 Zn 3.34